# 1
Below is crystalline BeAlSi3 at its relaxed geometry, with properties calculated at the PBE-GGA level.

a = 4.7081 Å, b = 4.7081 Å, c = 4.7081 Å
α = 90.00°, β = 90.00°, γ = 90.00°
Positions (direct):
1 Al 0.0000 0.0000 0.0000
2 Si 0.0000 0.0000 0.5000
3 Si 0.5000 0.0000 0.0000
4 Si 0.0000 0.5000 0.0000
5 Be 0.5000 0.5000 0.5000

The distance to the lowest polymorph of the same formula comes out at 628.0 meV/atom. As for the uncorrected formation energy: 1312.8 meV/atom. The value obtained for the volume is 20.87 A^3/atom. For the density of states at the Fermi level, the calculation gives 0.62 states/eV per atom.



# 2
Below is crystalline Be2AlSi at its relaxed geometry, with properties calculated at the PBE-GGA level.

a = 4.2573 Å, b = 3.7694 Å, c = 6.2759 Å
α = 90.00°, β = 90.00°, γ = 90.00°
Positions (direct):
1 Al 0.5000 0.5000 0.1581
2 Al 0.5000 0.0000 0.6581
3 Be 0.7579 0.0000 0.0013
4 Be 0.2421 0.5000 0.5013
5 Be 0.7579 0.5000 0.5013
6 Be 0.2421 0.0000 0.0013
7 Si 0.0000 0.0000 0.3423
8 Si 0.0000 0.5000 0.8423

The distance to the lowest polymorph of the same formula comes out at 45.1 meV/atom. As for the uncorrected formation energy: 181.7 meV/atom. The value obtained for the volume is 12.59 A^3/atom. For the density of states at the Fermi level, the calculation gives 0.34 states/eV per atom.



# 3
Below is crystalline BeAlSi4 at its relaxed geometry, with properties calculated at the PBE-GGA level.

a = 4.9798 Å, b = 4.9798 Å, c = 4.9798 Å
α = 60.00°, β = 60.00°, γ = 60.00°
Positions (direct):
1 Si 0.8761 0.3746 0.3746
2 Si 0.3746 0.3746 0.8761
3 Si 0.3746 0.3746 0.3746
4 Si 0.3746 0.8761 0.3746
5 Al 0.7500 0.7500 0.7500
6 Be 0.0000 0.0000 0.0000

As for the uncorrected formation energy: 595.4 meV/atom. The value obtained for the volume is 14.55 A^3/atom. For the density of states at the Fermi level, the calculation gives 0.37 states/eV per atom.



# 4
Below is crystalline Be3AlSi at its relaxed geometry, with properties calculated at the PBE-GGA level.

a = 4.2253 Å, b = 4.2253 Å, c = 4.2253 Å
α = 90.00°, β = 90.00°, γ = 90.00°
Positions (direct):
1 Si 0.0000 0.0000 0.0000
2 Al 0.5000 0.5000 0.5000
3 Be 0.5000 0.0000 0.0000
4 Be 0.0000 0.5000 0.0000
5 Be 0.0000 0.0000 0.5000

The distance to the lowest polymorph of the same formula comes out at 0.0 meV/atom. As for the uncorrected formation energy: 884.5 meV/atom. The value obtained for the volume is 15.09 A^3/atom. For the density of states at the Fermi level, the calculation gives 0.50 states/eV per atom.